# 1
Entry from Alexandria: a relaxed TmAl11Re crystal (PBE).

Cell lengths 6.888, 6.888, 7.051 Å; angles 98.05, 98.05, 134.95 degrees
Atoms (fractional coordinates):
Tm (0.000, 0.000, 0.000)
Al (0.000, 0.000, 0.500)
Al (0.000, 0.500, 0.000)
Al (0.018, 0.364, 0.358)
Al (0.287, 0.502, 0.781)
Al (0.364, 0.018, 0.358)
Al (0.498, 0.713, 0.219)
Al (0.500, 0.000, 0.000)
Al (0.502, 0.287, 0.781)
Al (0.636, 0.982, 0.642)
Al (0.713, 0.498, 0.219)
Al (0.982, 0.636, 0.642)
Re (0.500, 0.500, 0.500)

Computed properties:
theoretical density	4.9	g/cm3
magnetic moment	0.000	Bohr magnetons per cell
E_tot	-4.65	eV/atom
DOS(E_F)	6.4	states/eV/cell

# 2
Entry from Alexandria: a relaxed TmUAlRe crystal (PBE).

Cell lengths 6.756, 6.756, 6.756 Å; angles 90.00, 90.00, 90.00 degrees
Atoms (fractional coordinates):
Tm (0.000, 0.000, 0.000)
Tm (0.000, 0.500, 0.500)
Tm (0.500, 0.000, 0.500)
Tm (0.500, 0.500, 0.000)
U (0.250, 0.250, 0.250)
U (0.250, 0.750, 0.750)
U (0.750, 0.250, 0.750)
U (0.750, 0.750, 0.250)
Al (0.250, 0.250, 0.750)
Al (0.250, 0.750, 0.250)
Al (0.750, 0.250, 0.250)
Al (0.750, 0.750, 0.750)
Re (0.000, 0.000, 0.500)
Re (0.000, 0.500, 0.000)
Re (0.500, 0.000, 0.000)
Re (0.500, 0.500, 0.500)

Computed properties:
theoretical density	13.4	g/cm3
magnetic moment	4.816	Bohr magnetons per cell
E_tot	-7.86	eV/atom
DOS(E_F)	23.9	states/eV/cell

# 3
Entry from Alexandria: a relaxed U2AlRe3 crystal (PBE).

Cell lengths 5.278, 5.278, 5.278 Å; angles 61.72, 61.72, 61.72 degrees
Atoms (fractional coordinates):
U (0.112, 0.112, 0.112)
U (0.888, 0.888, 0.888)
Al (0.500, 0.500, 0.500)
Re (0.000, 0.500, 0.500)
Re (0.500, 0.000, 0.500)
Re (0.500, 0.500, 0.000)

Computed properties:
theoretical density	16.3	g/cm3
magnetic moment	2.710	Bohr magnetons per cell
E_tot	-10.69	eV/atom
DOS(E_F)	9.6	states/eV/cell

# 4
Entry from Alexandria: a relaxed U2AlRe crystal (PBE).

Cell lengths 4.094, 4.094, 4.364 Å; angles 90.00, 90.00, 90.00 degrees
Atoms (fractional coordinates):
U (0.000, 0.500, 0.000)
U (0.500, 0.000, 0.000)
Al (0.000, 0.000, 0.500)
Re (0.500, 0.500, 0.500)

Computed properties:
theoretical density	15.6	g/cm3
magnetic moment	0.001	Bohr magnetons per cell
E_tot	-9.72	eV/atom
DOS(E_F)	7.1	states/eV/cell

# 5
Entry from Alexandria: a relaxed UAl2Re crystal (PBE).

Cell lengths 2.832, 2.832, 29.148 Å; angles 90.00, 90.00, 120.00 degrees
Atoms (fractional coordinates):
U (0.000, 0.000, 0.000)
U (0.333, 0.667, 0.667)
U (0.667, 0.333, 0.333)
Al (0.000, 0.000, 0.241)
Al (0.000, 0.000, 0.759)
Al (0.333, 0.667, 0.426)
Al (0.333, 0.667, 0.908)
Al (0.667, 0.333, 0.092)
Al (0.667, 0.333, 0.574)
Re (0.000, 0.000, 0.500)
Re (0.333, 0.667, 0.167)
Re (0.667, 0.333, 0.833)

Computed properties:
theoretical density	11.8	g/cm3
magnetic moment	1.945	Bohr magnetons per cell
E_tot	-7.82	eV/atom
DOS(E_F)	16.8	states/eV/cell

# 6
Entry from Alexandria: a relaxed U2AlRe crystal (PBE).

Cell lengths 2.923, 2.923, 32.034 Å; angles 90.00, 90.00, 120.00 degrees
Atoms (fractional coordinates):
U (0.000, 0.000, 0.093)
U (0.000, 0.000, 0.907)
U (0.333, 0.667, 0.574)
U (0.333, 0.667, 0.759)
U (0.667, 0.333, 0.241)
U (0.667, 0.333, 0.426)
Al (0.000, 0.000, 0.000)
Al (0.333, 0.667, 0.667)
Al (0.667, 0.333, 0.333)
Re (0.000, 0.000, 0.500)
Re (0.333, 0.667, 0.167)
Re (0.667, 0.333, 0.833)

Computed properties:
theoretical density	14.5	g/cm3
magnetic moment	0.003	Bohr magnetons per cell
E_tot	-9.29	eV/atom
DOS(E_F)	20.1	states/eV/cell

Calculated energy relative to the elements (eV/atom), listed in the same order as above: -0.1826; 0.1269; -0.0798; -0.0310; -0.0100; 0.4054